1.
DFT (GGA-PBE) results for crystalline Ho6Bi5Sb at its relaxed geometry.

The structure in POSCAR format:
```
Ho6Bi5Sb
1.0
7.5654 -0.1174 -1.4252
-4.0873 6.3674 -1.4252
0.1478 0.2655 7.6852
Sb Ho Bi
1 6 5
Direct
0.0000 0.0000 0.0000
0.4115 0.0824 0.2474
0.9176 0.5885 0.7526
0.2460 0.2460 0.7512
0.7540 0.7540 0.2488
0.0824 0.4115 0.2474
0.5885 0.9176 0.7526
0.8318 0.1682 0.5000
0.6664 0.3336 0.0000
0.5000 0.5000 0.5000
0.3336 0.6664 0.0000
0.1682 0.8318 0.5000
```

Properties
Formation energy without anion corrections (eV per atom): -0.88

=====

2.
DFT (GGA-PBE) results for crystalline SrHg2OsBr at its relaxed geometry.

The structure in POSCAR format:
```
SrHg2OsBr
1.0
5.2057 0.0000 0.0000
0.0000 6.0011 0.0000
0.0000 0.0000 5.2057
Sr Os Hg Br
1 1 2 1
Direct
0.0000 0.5000 0.0000
0.0000 0.0000 0.0000
0.0000 0.0000 0.5000
0.5000 0.0000 0.0000
0.5000 0.5000 0.5000
```

Properties
Formation energy without anion corrections (eV per atom): 0.08